1.
Here is a relaxed structure of LiBeAlIr from Alexandria via LeMat-Bulk. Energies are from PBE.

Output
As for the final energy: -5.088 eV per atom. Its formation energy is -50.9 kJ/mol of atoms.

Cell and atoms, written as CIF:
```
data_LiBeAlIr
_cell_length_a 5.820
_cell_length_b 5.820
_cell_length_c 5.820
_cell_angle_alpha 90.00
_cell_angle_beta 90.00
_cell_angle_gamma 90.00
_symmetry_space_group_name_H-M 'F -4 3 m'
_symmetry_Int_Tables_number 216
_symmetry_space_group_name_Hall 'F -4 2 3'
loop_
_atom_site_label
_atom_site_type_symbol
_atom_site_fract_x
_atom_site_fract_y
_atom_site_fract_z
Li1 Li 0.000 0.000 0.000
Be1 Be 0.250 0.250 0.750
Al1 Al 0.250 0.250 0.250
Ir1 Ir 0.000 0.000 0.500
```

***

2.
Here is a relaxed structure of Mg2Be2AlIr5 from Alexandria via LeMat-Bulk. Energies are from PBE.

Output
As for the final energy: -6.400 eV per atom. Its formation energy is -51.2 kJ/mol of atoms.

Cell and atoms, written as CIF:
```
data_Mg2Be2AlIr5
_cell_length_a 9.458
_cell_length_b 9.458
_cell_length_c 3.046
_cell_angle_alpha 90.00
_cell_angle_beta 90.00
_cell_angle_gamma 90.00
_symmetry_space_group_name_H-M 'P 4/m b m'
_symmetry_Int_Tables_number 127
_symmetry_space_group_name_Hall '-P 4 2ab'
loop_
_atom_site_label
_atom_site_type_symbol
_atom_site_fract_x
_atom_site_fract_y
_atom_site_fract_z
Mg1 Mg 0.175 0.325 0.000
Be1 Be 0.126 0.626 0.000
Al1 Al 0.000 0.000 0.000
Ir1 Ir 0.000 0.500 0.500
Ir2 Ir 0.068 0.793 0.500
```

***

3.
Here is a relaxed structure of Be2Nb2AlIr5 from Alexandria via LeMat-Bulk. Energies are from PBE.

Output
As for the final energy: -8.246 eV per atom. Its formation energy is -65.8 kJ/mol of atoms.

Cell and atoms, written as CIF:
```
data_Be2Nb2AlIr5
_cell_length_a 9.573
_cell_length_b 9.573
_cell_length_c 2.964
_cell_angle_alpha 90.00
_cell_angle_beta 90.00
_cell_angle_gamma 90.00
_symmetry_space_group_name_H-M 'P 4/m b m'
_symmetry_Int_Tables_number 127
_symmetry_space_group_name_Hall '-P 4 2ab'
loop_
_atom_site_label
_atom_site_type_symbol
_atom_site_fract_x
_atom_site_fract_y
_atom_site_fract_z
Be1 Be 0.125 0.375 0.000
Nb1 Nb 0.179 0.679 0.000
Al1 Al 0.000 0.000 0.000
Ir1 Ir 0.000 0.500 0.500
Ir2 Ir 0.062 0.208 0.500
```

***

4.
Here is a relaxed structure of Nd2BeAlIr2 from Alexandria via LeMat-Bulk. Energies are from PBE.

Output
As for the final energy: -6.431 eV per atom. Its formation energy is -62.1 kJ/mol of atoms.

Cell and atoms, written as CIF:
```
data_Nd2BeAlIr2
_cell_length_a 5.719
_cell_length_b 14.385
_cell_length_c 5.827
_cell_angle_alpha 90.00
_cell_angle_beta 90.00
_cell_angle_gamma 90.00
_symmetry_space_group_name_H-M 'I b a m'
_symmetry_Int_Tables_number 72
_symmetry_space_group_name_Hall '-I 2 2c'
loop_
_atom_site_label
_atom_site_type_symbol
_atom_site_fract_x
_atom_site_fract_y
_atom_site_fract_z
Nd1 Nd 0.246 0.167 0.000
Be1 Be 0.000 0.500 0.250
Al1 Al 0.000 0.000 0.250
Ir1 Ir 0.231 0.400 0.000
```

***

5.
Here is a relaxed structure of NdBeAlIr2 from Alexandria via LeMat-Bulk. Energies are from PBE.

Output
As for the final energy: -6.620 eV per atom. Its formation energy is -60.6 kJ/mol of atoms.

Cell and atoms, written as CIF:
```
data_NdBeAlIr2
_cell_length_a 4.032
_cell_length_b 4.032
_cell_length_c 10.828
_cell_angle_alpha 90.00
_cell_angle_beta 90.00
_cell_angle_gamma 90.00
_symmetry_space_group_name_H-M 'I -4 m 2'
_symmetry_Int_Tables_number 119
_symmetry_space_group_name_Hall 'I -4 -2'
loop_
_atom_site_label
_atom_site_type_symbol
_atom_site_fract_x
_atom_site_fract_y
_atom_site_fract_z
Nd1 Nd 0.000 0.000 0.000
Be1 Be 0.000 0.500 0.750
Al1 Al 0.000 0.500 0.250
Ir1 Ir 0.000 0.000 0.378
```

***

6.
Here is a relaxed structure of Nd2Be3AlIr4 from Alexandria via LeMat-Bulk. Energies are from PBE.

Output
As for the final energy: -6.643 eV per atom. Its formation energy is -63.0 kJ/mol of atoms.

Cell and atoms, written as CIF:
```
data_Nd2Be3AlIr4
_cell_length_a 4.096
_cell_length_b 4.096
_cell_length_c 9.788
_cell_angle_alpha 90.00
_cell_angle_beta 90.00
_cell_angle_gamma 90.00
_symmetry_space_group_name_H-M 'P -4 m 2'
_symmetry_Int_Tables_number 115
_symmetry_space_group_name_Hall 'P -4 -2'
loop_
_atom_site_label
_atom_site_type_symbol
_atom_site_fract_x
_atom_site_fract_y
_atom_site_fract_z
Nd1 Nd 0.000 0.500 0.235
Be1 Be 0.000 0.500 0.889
Be2 Be 0.500 0.500 0.500
Al1 Al 0.000 0.000 0.500
Ir1 Ir 0.000 0.000 0.000
Ir2 Ir 0.000 0.500 0.638
Ir3 Ir 0.500 0.500 0.000
```

***

7.
Here is a relaxed structure of Pa2Be2AlIr5 from Alexandria via LeMat-Bulk. Energies are from PBE.

Output
As for the final energy: -8.283 eV per atom. Its formation energy is -80.5 kJ/mol of atoms.

Cell and atoms, written as CIF:
```
data_Pa2Be2AlIr5
_cell_length_a 9.380
_cell_length_b 9.380
_cell_length_c 3.528
_cell_angle_alpha 90.00
_cell_angle_beta 90.00
_cell_angle_gamma 90.00
_symmetry_space_group_name_H-M 'P 4/m b m'
_symmetry_Int_Tables_number 127
_symmetry_space_group_name_Hall '-P 4 2ab'
loop_
_atom_site_label
_atom_site_type_symbol
_atom_site_fract_x
_atom_site_fract_y
_atom_site_fract_z
Pa1 Pa 0.178 0.322 0.000
Be1 Be 0.119 0.619 0.000
Al1 Al 0.000 0.000 0.000
Ir1 Ir 0.000 0.500 0.500
Ir2 Ir 0.072 0.787 0.500
```

***

8.
Here is a relaxed structure of Pa2Be3AlIr4 from Alexandria via LeMat-Bulk. Energies are from PBE.

Output
As for the final energy: -7.632 eV per atom. Its formation energy is -67.2 kJ/mol of atoms.

Cell and atoms, written as CIF:
```
data_Pa2Be3AlIr4
_cell_length_a 3.996
_cell_length_b 3.996
_cell_length_c 9.844
_cell_angle_alpha 90.00
_cell_angle_beta 90.00
_cell_angle_gamma 90.00
_symmetry_space_group_name_H-M 'P -4 m 2'
_symmetry_Int_Tables_number 115
_symmetry_space_group_name_Hall 'P -4 -2'
loop_
_atom_site_label
_atom_site_type_symbol
_atom_site_fract_x
_atom_site_fract_y
_atom_site_fract_z
Pa1 Pa 0.000 0.500 0.232
Be1 Be 0.000 0.500 0.886
Be2 Be 0.500 0.500 0.500
Al1 Al 0.000 0.000 0.500
Ir1 Ir 0.000 0.000 0.000
Ir2 Ir 0.000 0.500 0.651
Ir3 Ir 0.500 0.500 0.000
```

***

9.
Here is a relaxed structure of BeAlIrPd from Alexandria via LeMat-Bulk. Energies are from PBE.

Output
As for the final energy: -6.158 eV per atom. Its formation energy is -75.0 kJ/mol of atoms.

Cell and atoms, written as CIF:
```
data_BeAlIrPd
_cell_length_a 2.935
_cell_length_b 2.935
_cell_length_c 5.886
_cell_angle_alpha 90.00
_cell_angle_beta 90.00
_cell_angle_gamma 90.00
_symmetry_space_group_name_H-M 'P 4 m m'
_symmetry_Int_Tables_number 99
_symmetry_space_group_name_Hall 'P 4 -2'
loop_
_atom_site_label
_atom_site_type_symbol
_atom_site_fract_x
_atom_site_fract_y
_atom_site_fract_z
Be1 Be 0.000 0.000 0.000
Al1 Al 0.000 0.000 0.474
Ir1 Ir 0.500 0.500 0.215
Pd1 Pd 0.500 0.500 0.742
```

***

10.
Here is a relaxed structure of Pm2Be4AlIr3 from Alexandria via LeMat-Bulk. Energies are from PBE.

Output
As for the final energy: -6.011 eV per atom. Its formation energy is -51.9 kJ/mol of atoms.

Cell and atoms, written as CIF:
```
data_Pm2Be4AlIr3
_cell_length_a 3.895
_cell_length_b 3.895
_cell_length_c 10.286
_cell_angle_alpha 90.00
_cell_angle_beta 90.00
_cell_angle_gamma 90.00
_symmetry_space_group_name_H-M 'P -4 m 2'
_symmetry_Int_Tables_number 115
_symmetry_space_group_name_Hall 'P -4 -2'
loop_
_atom_site_label
_atom_site_type_symbol
_atom_site_fract_x
_atom_site_fract_y
_atom_site_fract_z
Pm1 Pm 0.000 0.500 0.240
Be1 Be 0.000 0.000 0.000
Be2 Be 0.000 0.500 0.638
Be3 Be 0.500 0.500 0.000
Al1 Al 0.000 0.000 0.500
Ir1 Ir 0.000 0.500 0.877
Ir2 Ir 0.500 0.500 0.500
```

***

11.
Here is a relaxed structure of Pm2Be3AlIr4 from Alexandria via LeMat-Bulk. Energies are from PBE.

Output
As for the final energy: -6.658 eV per atom. Its formation energy is -64.8 kJ/mol of atoms.

Cell and atoms, written as CIF:
```
data_Pm2Be3AlIr4
_cell_length_a 4.086
_cell_length_b 4.086
_cell_length_c 9.736
_cell_angle_alpha 90.00
_cell_angle_beta 90.00
_cell_angle_gamma 90.00
_symmetry_space_group_name_H-M 'P -4 m 2'
_symmetry_Int_Tables_number 115
_symmetry_space_group_name_Hall 'P -4 -2'
loop_
_atom_site_label
_atom_site_type_symbol
_atom_site_fract_x
_atom_site_fract_y
_atom_site_fract_z
Pm1 Pm 0.000 0.500 0.234
Be1 Be 0.000 0.500 0.889
Be2 Be 0.500 0.500 0.500
Al1 Al 0.000 0.000 0.500
Ir1 Ir 0.000 0.000 0.000
Ir2 Ir 0.000 0.500 0.639
Ir3 Ir 0.500 0.500 0.000
```

***

12.
Here is a relaxed structure of Pm2BeAl4Ir3 from Alexandria via LeMat-Bulk. Energies are from PBE.

Output
As for the final energy: -6.175 eV per atom. Its formation energy is -67.2 kJ/mol of atoms.

Cell and atoms, written as CIF:
```
data_Pm2BeAl4Ir3
_cell_length_a 4.161
_cell_length_b 4.161
_cell_length_c 10.566
_cell_angle_alpha 90.00
_cell_angle_beta 90.00
_cell_angle_gamma 90.00
_symmetry_space_group_name_H-M 'P -4 m 2'
_symmetry_Int_Tables_number 115
_symmetry_space_group_name_Hall 'P -4 -2'
loop_
_atom_site_label
_atom_site_type_symbol
_atom_site_fract_x
_atom_site_fract_y
_atom_site_fract_z
Pm1 Pm 0.000 0.500 0.244
Be1 Be 0.500 0.500 0.000
Al1 Al 0.000 0.000 0.500
Al2 Al 0.000 0.500 0.876
Al3 Al 0.500 0.500 0.500
Ir1 Ir 0.000 0.000 0.000
Ir2 Ir 0.000 0.500 0.636
```

***

13.
Here is a relaxed structure of PmBeAl2Ir2 from Alexandria via LeMat-Bulk. Energies are from PBE.

Output
As for the final energy: -6.297 eV per atom. Its formation energy is -65.9 kJ/mol of atoms.

Cell and atoms, written as CIF:
```
data_PmBeAl2Ir2
_cell_length_a 4.262
_cell_length_b 4.262
_cell_length_c 5.646
_cell_angle_alpha 90.00
_cell_angle_beta 90.00
_cell_angle_gamma 90.00
_symmetry_space_group_name_H-M 'P 4/m m m'
_symmetry_Int_Tables_number 123
_symmetry_space_group_name_Hall '-P 4 2'
loop_
_atom_site_label
_atom_site_type_symbol
_atom_site_fract_x
_atom_site_fract_y
_atom_site_fract_z
Pm1 Pm 0.000 0.000 0.000
Be1 Be 0.000 0.000 0.500
Al1 Al 0.500 0.500 0.238
Ir1 Ir 0.000 0.500 0.500
```

***

14.
Here is a relaxed structure of PmBeAlIr2 from Alexandria via LeMat-Bulk. Energies are from PBE.

Output
As for the final energy: -6.629 eV per atom. Its formation energy is -61.8 kJ/mol of atoms.

Cell and atoms, written as CIF:
```
data_PmBeAlIr2
_cell_length_a 4.005
_cell_length_b 4.005
_cell_length_c 10.877
_cell_angle_alpha 90.00
_cell_angle_beta 90.00
_cell_angle_gamma 90.00
_symmetry_space_group_name_H-M 'I -4 m 2'
_symmetry_Int_Tables_number 119
_symmetry_space_group_name_Hall 'I -4 -2'
loop_
_atom_site_label
_atom_site_type_symbol
_atom_site_fract_x
_atom_site_fract_y
_atom_site_fract_z
Pm1 Pm 0.000 0.000 0.000
Be1 Be 0.000 0.500 0.250
Al1 Al 0.000 0.500 0.750
Ir1 Ir 0.000 0.000 0.379
```

***

15.
Here is a relaxed structure of PrBeAlIr2 from Alexandria via LeMat-Bulk. Energies are from PBE.

Output
As for the final energy: -6.611 eV per atom. Its formation energy is -59.5 kJ/mol of atoms.

Cell and atoms, written as CIF:
```
data_PrBeAlIr2
_cell_length_a 4.060
_cell_length_b 4.060
_cell_length_c 10.778
_cell_angle_alpha 90.00
_cell_angle_beta 90.00
_cell_angle_gamma 90.00
_symmetry_space_group_name_H-M 'I -4 m 2'
_symmetry_Int_Tables_number 119
_symmetry_space_group_name_Hall 'I -4 -2'
loop_
_atom_site_label
_atom_site_type_symbol
_atom_site_fract_x
_atom_site_fract_y
_atom_site_fract_z
Pr1 Pr 0.000 0.000 0.000
Be1 Be 0.000 0.500 0.750
Al1 Al 0.000 0.500 0.250
Ir1 Ir 0.000 0.000 0.377
```

***

16.
Here is a relaxed structure of Pr2BeAlIr2 from Alexandria via LeMat-Bulk. Energies are from PBE.

Output
As for the final energy: -6.410 eV per atom. Its formation energy is -59.7 kJ/mol of atoms.

Cell and atoms, written as CIF:
```
data_Pr2BeAlIr2
_cell_length_a 5.745
_cell_length_b 14.588
_cell_length_c 5.825
_cell_angle_alpha 90.00
_cell_angle_beta 90.00
_cell_angle_gamma 90.00
_symmetry_space_group_name_H-M 'I b a m'
_symmetry_Int_Tables_number 72
_symmetry_space_group_name_Hall '-I 2 2c'
loop_
_atom_site_label
_atom_site_type_symbol
_atom_site_fract_x
_atom_site_fract_y
_atom_site_fract_z
Pr1 Pr 0.246 0.166 0.000
Be1 Be 0.000 0.500 0.250
Al1 Al 0.000 0.000 0.250
Ir1 Ir 0.231 0.402 0.000
```

***

17.
Here is a relaxed structure of BeAl2ReIr from Alexandria via LeMat-Bulk. Energies are from PBE.

Output
As for the final energy: -5.298 eV per atom. Its formation energy is 116.4 kJ/mol of atoms.

Cell and atoms, written as CIF:
```
data_BeAl2ReIr
_cell_length_a 4.727
_cell_length_b 4.727
_cell_length_c 4.752
_cell_angle_alpha 90.00
_cell_angle_beta 90.00
_cell_angle_gamma 90.00
_symmetry_space_group_name_H-M 'P 4/m m m'
_symmetry_Int_Tables_number 123
_symmetry_space_group_name_Hall '-P 4 2'
loop_
_atom_site_label
_atom_site_type_symbol
_atom_site_fract_x
_atom_site_fract_y
_atom_site_fract_z
Be1 Be 0.000 0.000 0.000
Al1 Al 0.000 0.500 0.500
Re1 Re 0.500 0.500 0.500
Ir1 Ir 0.500 0.500 0.000
```

***

18.
Here is a relaxed structure of ScBeAlIr from Alexandria via LeMat-Bulk. Energies are from PBE.

Output
As for the final energy: -6.284 eV per atom. The calculation puts the distance to the lowest polymorph of the same formula at 0.00 eV/f.u. Its formation energy is -59.7 kJ/mol of atoms.

Cell and atoms, written as CIF:
```
data_ScBeAlIr
_cell_length_a 6.092
_cell_length_b 6.092
_cell_length_c 6.092
_cell_angle_alpha 90.00
_cell_angle_beta 90.00
_cell_angle_gamma 90.00
_symmetry_space_group_name_H-M 'F -4 3 m'
_symmetry_Int_Tables_number 216
_symmetry_space_group_name_Hall 'F -4 2 3'
loop_
_atom_site_label
_atom_site_type_symbol
_atom_site_fract_x
_atom_site_fract_y
_atom_site_fract_z
Sc1 Sc 0.000 0.000 0.000
Be1 Be 0.250 0.250 0.250
Al1 Al 0.250 0.250 0.750
Ir1 Ir 0.000 0.000 0.500
```

***

19.
Here is a relaxed structure of Sc2Be2AlIr5 from Alexandria via LeMat-Bulk. Energies are from PBE.

Output
As for the final energy: -7.705 eV per atom. Its formation energy is -85.8 kJ/mol of atoms.

Cell and atoms, written as CIF:
```
data_Sc2Be2AlIr5
_cell_length_a 9.502
_cell_length_b 9.502
_cell_length_c 3.090
_cell_angle_alpha 90.00
_cell_angle_beta 90.00
_cell_angle_gamma 90.00
_symmetry_space_group_name_H-M 'P 4/m b m'
_symmetry_Int_Tables_number 127
_symmetry_space_group_name_Hall '-P 4 2ab'
loop_
_atom_site_label
_atom_site_type_symbol
_atom_site_fract_x
_atom_site_fract_y
_atom_site_fract_z
Sc1 Sc 0.176 0.324 0.000
Be1 Be 0.125 0.625 0.000
Al1 Al 0.000 0.000 0.000
Ir1 Ir 0.000 0.500 0.500
Ir2 Ir 0.067 0.790 0.500
```

***

20.
Here is a relaxed structure of ScBeAlIr from Alexandria via LeMat-Bulk. Energies are from PBE.

Output
As for the final energy: -6.229 eV per atom. The calculation puts the distance to the lowest polymorph of the same formula at 0.22 eV/f.u. Its formation energy is -54.4 kJ/mol of atoms.

Cell and atoms, written as CIF:
```
data_ScBeAlIr
_cell_length_a 6.169
_cell_length_b 6.169
_cell_length_c 6.169
_cell_angle_alpha 90.00
_cell_angle_beta 90.00
_cell_angle_gamma 90.00
_symmetry_space_group_name_H-M 'F -4 3 m'
_symmetry_Int_Tables_number 216
_symmetry_space_group_name_Hall 'F -4 2 3'
loop_
_atom_site_label
_atom_site_type_symbol
_atom_site_fract_x
_atom_site_fract_y
_atom_site_fract_z
Sc1 Sc 0.000 0.000 0.000
Be1 Be 0.250 0.250 0.750
Al1 Al 0.000 0.000 0.500
Ir1 Ir 0.250 0.250 0.250
```